A geometry-optimized Pu2TcH structure, computed with PBE.

Summary:
The total energy comes out at -10.616 eV/atom. The density of states at the Fermi level is 7.6 states/eV/f.u.

Cell lengths 3.1806, 3.1806, 6.7912 Å; angles 90.00, 90.00, 90.00 degrees
Each line ends with the local moment (μB).
Sites, in units of the cell vectors:
H1 0.5000 0.5000 0.0000  -0.04
Tc1 0.5000 0.5000 0.5000  -0.89
Pu1 0.0000 0.0000 0.7670  5.28
Pu2 0.0000 0.0000 0.2330  5.28

---

A geometry-optimized ZrRe2Tc structure, computed with PBE.

Summary:
For the calculated formation energy, the calculation gives 0.150 eV/atom. The density of states at the Fermi level is 4.3 states/eV/f.u.

Cell lengths 2.7900, 2.7900, 8.9694 Å; angles 90.00, 90.00, 110.91 degrees
Sites, in units of the cell vectors:
Re1 0.0000 0.0000 0.0132
Re2 0.5000 0.5000 0.2512
Tc1 0.0000 0.0000 0.4872
Zr1 0.5000 0.5000 0.7484

---

A geometry-optimized AlTl2Sn2 structure, computed with PBE.

Summary:
For the calculated formation energy, the calculation gives 0.328 eV/atom. The density of states at the Fermi level is 2.9 states/eV/f.u.

Cell lengths 8.6980, 8.6980, 3.8127 Å; angles 90.00, 90.00, 90.00 degrees
Sites, in units of the cell vectors:
Tl1 0.3425 0.8425 0.0000
Tl2 0.8425 0.6575 0.0000
Tl3 0.6575 0.1575 0.0000
Tl4 0.1575 0.3425 0.0000
Sn1 0.1415 0.6415 0.5000
Sn2 0.6415 0.8585 0.5000
Sn3 0.8585 0.3585 0.5000
Sn4 0.3585 0.1415 0.5000
Al1 0.0000 0.0000 0.0000
Al2 0.5000 0.5000 0.0000

---

What is the formula in the first record? Pu2TcH